Record 1
Tm3BO3F3 | PBE-GGA | relaxed

Geometry as CIF:
```
data_Tm3BO3F3
_space_group_name_H-M_alt 'P 1 21/m 1'
_space_group_IT_number 11
_cell_length_a 8.531
_cell_length_b 3.577
_cell_length_c 8.561
_cell_angle_alpha 90.00
_cell_angle_beta 119.55
_cell_angle_gamma 90.00
loop_
_space_group_symop_operation_xyz
'x,y,z'
'-x,-y,-z'
'-x,y+1/2,-z'
'x,-y+1/2,z'
loop_
_atom_site_label
_atom_site_type_symbol
_atom_site_fract_x
_atom_site_fract_y
_atom_site_fract_z
Tm1 Tm 0.071 0.250 0.354
Tm2 Tm 0.217 0.750 0.070
Tm3 Tm 0.355 0.750 0.781
B1 B 0.167 0.250 0.833
O1 O 0.016 0.250 0.877
O2 O 0.124 0.250 0.639
O3 O 0.361 0.250 0.984
F1 F 0.253 0.750 0.484
F2 F 0.267 0.250 0.251
F3 F 0.486 0.250 0.732
```

Values from the calculation:
Crystal system = monoclinic
Size of the total moment = 0.00 μB per cell
E_tot = -70.25 eV per formula unit

***

Record 2
LaAgTe3Pb | PBE-GGA | relaxed

Geometry as CIF:
```
data_LaAgTe3Pb
_space_group_name_H-M_alt 'C m c m'
_space_group_IT_number 63
_space_group_name_Hall '-C 2c 2'
_cell_length_a 4.429
_cell_length_b 14.949
_cell_length_c 11.658
_cell_angle_alpha 90.00
_cell_angle_beta 90.00
_cell_angle_gamma 90.00
loop_
_atom_site_label
_atom_site_type_symbol
_atom_site_fract_x
_atom_site_fract_y
_atom_site_fract_z
La1 La 0.000 0.000 0.000
Ag1 Ag 0.000 0.472 0.250
Te1 Te 0.000 0.094 0.250
Te2 Te 0.000 0.351 0.065
Pb1 Pb 0.000 0.233 0.750
```

Values from the calculation:
Energy above the lowest structure with this stoichiometry = 4 meV per atom
Crystal system = orthorhombic
Size of the total moment = 0.01 μB per cell
E_tot = -25.66 eV per formula unit

***

Record 3
LaPmRe | PBE-GGA | relaxed

Geometry as CIF:
```
data_LaPmRe
_space_group_name_H-M_alt 'F -4 3 m'
_space_group_IT_number 216
_space_group_name_Hall 'F -4 2 3'
_cell_length_a 6.842
_cell_length_b 6.842
_cell_length_c 6.842
_cell_angle_alpha 90.00
_cell_angle_beta 90.00
_cell_angle_gamma 90.00
loop_
_atom_site_label
_atom_site_type_symbol
_atom_site_fract_x
_atom_site_fract_y
_atom_site_fract_z
La1 La 0.000 0.000 0.000
Pm1 Pm 0.250 0.250 0.750
Re1 Re 0.250 0.250 0.250
```

Values from the calculation:
Crystal system = cubic
Size of the total moment = 2.25 μB per cell
E_tot = -18.69 eV per formula unit
Calculated formation energy = 1135 meV per atom